A plane-wave DFT calculation with PBE was carried out for a relaxed Tb5Y2HoIn crystal.

Computed properties:
* final energy: -0.177 hartree per atom
* total magnetic moment: 0.00 μB/atom

a b c (Å): 5.378 20.176 10.513
angles (deg): 90.00 90.00 90.00
Space group Cmcm (No. 63)
Inequivalent atoms, fractional coordinates:
Tb1 0.000 0.000 0.000 x4
Tb2 0.000 0.117 0.250 x4
Tb3 0.000 0.211 0.552 x8
Tb4 0.000 0.487 0.250 x4
Y1 0.000 0.384 0.541 x8
Ho1 0.000 0.292 0.250 x4
In1 0.000 0.096 0.750 x4

***

A plane-wave DFT calculation with PBE was carried out for a relaxed TbHoZnIn crystal.

Computed properties:
* final energy: -0.137 hartree per atom
* polymorph energy (0 for the lowest one): 0.000 eV/f.u.
* total magnetic moment: 0.00 μB/atom

a b c (Å): 3.639 3.639 7.437
angles (deg): 90.00 90.00 90.00
Space group P4mm (No. 99)
Inequivalent atoms, fractional coordinates:
Tb1 0.000 0.000 0.000 x1
Ho1 0.000 0.000 0.539 x1
Zn1 0.500 0.500 0.765 x1
In1 0.500 0.500 0.272 x1

***

A plane-wave DFT calculation with PBE was carried out for a relaxed TbHoZnIn crystal.

Computed properties:
* final energy: -0.136 hartree per atom
* polymorph energy (0 for the lowest one): 0.085 eV/f.u.
* total magnetic moment: 0.00 μB/atom

a b c (Å): 7.352 7.352 7.352
angles (deg): 90.00 90.00 90.00
Space group F-43m (No. 216)
Inequivalent atoms, fractional coordinates:
Tb1 0.000 0.000 0.000 x4
Ho1 0.000 0.000 0.500 x4
Zn1 0.250 0.250 0.250 x4
In1 0.250 0.250 0.750 x4

***

A plane-wave DFT calculation with PBE was carried out for a relaxed Tb2HoZn2In2 crystal.

Computed properties:
* final energy: -0.125 hartree per atom
* total magnetic moment: 0.00 μB/atom

a b c (Å): 4.7005 4.7005 27.2346
angles (deg): 90.00 90.00 120.00
Space group R-3m (No. 166, hexagonal axes)
Inequivalent atoms, fractional coordinates:
Tb1 0.0000 0.0000 0.1271 x6
Ho1 0.0000 0.0000 0.0000 x3
Zn1 0.0000 0.0000 0.3946 x6
In1 0.0000 0.0000 0.2640 x6

***

A plane-wave DFT calculation with PBE was carried out for a relaxed Ho8InTc2 crystal.

Computed properties:
* final energy: -0.205 hartree per atom
* polymorph energy (0 for the lowest one): 0.000 eV/f.u.
* total magnetic moment: 0.00 μB/atom

a b c (Å): 8.812 13.080 5.415
angles (deg): 90.00 103.97 90.00
Space group C2/m (No. 12)
Inequivalent atoms, fractional coordinates:
Ho1 0.000 0.247 0.000 x4
Ho2 0.117 0.500 0.803 x4
Ho3 0.195 0.134 0.577 x8
In1 0.000 0.000 0.000 x2
Tc1 0.000 0.317 0.500 x4

***

A plane-wave DFT calculation with PBE was carried out for a relaxed Ho5InTc2 crystal.

Computed properties:
* final energy: -0.219 hartree per atom
* total magnetic moment: 0.00 μB/atom

a b c (Å): 7.536 7.536 14.570
angles (deg): 90.00 90.00 90.00
Space group I4/mcm (No. 140)
Inequivalent atoms, fractional coordinates:
Ho1 0.000 0.000 0.000 x4
Ho2 0.174 0.326 0.135 x16
In1 0.000 0.000 0.250 x4
Tc1 0.117 0.383 0.500 x8

***

A plane-wave DFT calculation with PBE was carried out for a relaxed Ho12In3Tc crystal.

Computed properties:
* final energy: -0.174 hartree per atom
* total magnetic moment: 0.00 μB/atom

a b c (Å): 4.790 4.790 18.953
angles (deg): 90.00 90.00 90.00
Space group P4/mmm (No. 123)
Inequivalent atoms, fractional coordinates:
Ho1 0.000 0.000 0.000 x1
Ho2 0.000 0.000 0.243 x2
Ho3 0.000 0.000 0.500 x1
Ho4 0.000 0.500 0.110 x4
Ho5 0.000 0.500 0.371 x4
In1 0.500 0.500 0.246 x2
In2 0.500 0.500 0.500 x1
Tc1 0.500 0.500 0.000 x1

***

A plane-wave DFT calculation with PBE was carried out for a relaxed Ho4InTc crystal.

Computed properties:
* final energy: -0.202 hartree per atom
* total magnetic moment: 0.00 μB/atom

a b c (Å): 8.697 12.929 6.179
angles (deg): 90.00 107.65 90.00
Space group C2/c (No. 15)
Inequivalent atoms, fractional coordinates:
Ho1 0.108 0.168 0.049 x8
Ho2 0.222 0.422 0.388 x8
In1 0.000 0.375 0.750 x4
Tc1 0.000 0.000 0.250 x4